Material: PbSe3O
Method: DFT, SCAN
State: single point on PBEsol structure

## Properties
- Formation energy without anion corrections: 1.158 eV/atom
- Calculated total energy: -136.458 eV for the cell shown
- Size of the total moment: 4.75 μB/f.u.

Structure (CIF):
```
data_PbSe3O
_chemical_formula_sum 'Pb1 Se3 O1'
_space_group_name_H-M_alt 'P m -3 m'
_space_group_IT_number 221
_space_group_name_Hall '-P 4 2 3'
_cell_length_a 5.440
_cell_length_b 5.440
_cell_length_c 5.440
_cell_angle_alpha 90.00
_cell_angle_beta 90.00
_cell_angle_gamma 90.00
loop_
_atom_site_label
_atom_site_type_symbol
_atom_site_fract_x
_atom_site_fract_y
_atom_site_fract_z
Pb1 Pb 0.000 0.000 0.000
Se1 Se 0.000 0.000 0.500
O1 O 0.500 0.500 0.500
```